Entry 1:
Compound: BaGdCuSeS2
Source: OQMD via LeMat-Bulk
Functional: PBE
Structure: optimized geometry

a b c (Å): 4.091 13.850 10.604
angles (deg): 90.00 90.00 90.00
Space group Cmcm (No. 63)
Symmetry-distinct sites (fractional):
Ba 0.000 0.242 0.250
Gd 0.000 0.000 0.000
Cu 0.000 0.469 0.750
Se 0.000 0.076 0.750
S 0.000 0.373 0.569

Summary:
**Size of the total moment**: 0.0 μB/cell
**E_tot**: -127.80 eV for the cell shown

=====

Entry 2:
Compound: ZnCuGePd
Source: OQMD via LeMat-Bulk
Functional: PBE
Structure: optimized geometry

a b c (Å): 6.149 6.149 6.149
angles (deg): 90.00 90.00 90.00
Space group F-43m (No. 216)
Symmetry-distinct sites (fractional):
Zn 0.000 0.000 0.000
Cu 0.250 0.250 0.750
Ge 0.000 0.000 0.500
Pd 0.250 0.250 0.250

Summary:
**ΔE to the lowest computed polymorph**: 0 meV per atom

=====

Entry 3:
Compound: BeZnCdFe
Source: OQMD via LeMat-Bulk
Functional: PBE
Structure: optimized geometry

a b c (Å): 6.034 6.034 6.034
angles (deg): 90.00 90.00 90.00
Space group F-43m (No. 216)
Symmetry-distinct sites (fractional):
Be 0.000 0.000 0.000
Zn 0.250 0.250 0.250
Cd 0.250 0.250 0.750
Fe 0.000 0.000 0.500

Summary:
**ΔE to the lowest computed polymorph**: 54 meV per atom
**Size of the total moment**: 9.1 μB/cell

=====

Entry 4:
Compound: CsNiSbS3
Source: OQMD via LeMat-Bulk
Functional: PBE
Structure: optimized geometry

a b c (Å): 4.022 14.626 10.741
angles (deg): 90.00 90.00 90.00
Space group Cmcm (No. 63)
Symmetry-distinct sites (fractional):
Cs 0.000 0.223 0.250
Ni 0.000 0.067 0.750
Sb 0.000 0.500 0.000
S 0.000 0.120 0.551
S 0.000 0.499 0.750

Summary:
**Size of the total moment**: 3.9 μB/cell
**E_tot**: -103.40 eV for the cell shown

=====

Entry 5:
Compound: AgHgW
Source: OQMD via LeMat-Bulk
Functional: PBE
Structure: optimized geometry

a b c (Å): 6.382 6.382 6.382
angles (deg): 90.00 90.00 90.00
Space group F-43m (No. 216)
Symmetry-distinct sites (fractional):
Ag 0.000 0.000 0.000
Hg 0.000 0.000 0.500
W 0.250 0.250 0.250

Summary:
**ΔE to the lowest computed polymorph**: 0 meV per atom
**DFT formation energy**: 1449 meV/atom
**Size of the total moment**: 2.1 μB/cell

=====

Entry 6:
Compound: Hf4AlGaN2
Source: OQMD via LeMat-Bulk
Functional: PBE
Structure: optimized geometry

a b c (Å): 3.2003 3.2003 14.0567
angles (deg): 90.00 90.00 120.00
Space group P-6m2 (No. 187)
Symmetry-distinct sites (fractional):
Hf 0.0000 0.0000 0.1573
Hf 0.3333 0.6667 0.3378
Al 0.0000 0.0000 0.5000
Ga 0.3333 0.6667 0.0000
N 0.6667 0.3333 0.2470

Summary:
**Size of the total moment**: 0.0 μB/cell
**E_tot**: -72.18 eV for the cell shown

=====

Entry 7:
Compound: ZnCuW4N2
Source: OQMD via LeMat-Bulk
Functional: PBE
Structure: optimized geometry

a b c (Å): 2.8122 2.8122 14.8084
angles (deg): 90.00 90.00 120.00
Space group P-6m2 (No. 187)
Symmetry-distinct sites (fractional):
Zn 0.0000 0.0000 0.0000
Cu 0.3333 0.6667 0.5000
W 0.0000 0.0000 0.3504
W 0.3333 0.6667 0.1534
N 0.6667 0.3333 0.2511

Summary:
**Size of the total moment**: 0.0 μB/cell
**E_tot**: -72.35 eV for the cell shown

=====

Entry 8:
Compound: BiMoW
Source: OQMD via LeMat-Bulk
Functional: PBE
Structure: optimized geometry

a b c (Å): 6.404 6.404 6.404
angles (deg): 90.00 90.00 90.00
Space group F-43m (No. 216)
Symmetry-distinct sites (fractional):
Bi 0.000 0.000 0.000
Mo 0.000 0.000 0.500
W 0.250 0.250 0.250

Summary:
**Size of the total moment**: 0.0 μB/cell
**E_tot**: -99.90 eV for the cell shown

=====

Entry 9:
Compound: Y6Si2Pd
Source: OQMD via LeMat-Bulk
Functional: PBE
Structure: optimized geometry

a b c (Å): 7.8566 7.8566 4.2461
angles (deg): 90.00 90.00 120.00
Space group P-62m (No. 189)
Symmetry-distinct sites (fractional):
Y 0.0000 0.2614 0.0000
Y 0.0000 0.5913 0.5000
Si 0.3333 0.6667 0.0000
Pd 0.0000 0.0000 0.5000

Summary:
**Size of the total moment**: 2.4 μB/cell
**E_tot**: -59.75 eV for the cell shown

=====

Entry 10:
Compound: DyOsPb2O6
Source: OQMD via LeMat-Bulk
Functional: PBE
Structure: optimized geometry

a b c (Å): 5.114 5.114 5.850
angles (deg): 88.02 88.56 73.56
Space group P-1 (No. 2)
Symmetry-distinct sites (fractional):
Dy 0.000 0.000 0.000
Os 0.500 0.500 0.000
Pb 0.311 0.310 0.522
O 0.272 0.272 0.999
O 0.282 0.709 0.263
O 0.288 0.722 0.737

Summary:
**Size of the total moment**: 0.9 μB/cell
**E_tot**: -68.44 eV for the cell shown

=====

Entry 11:
Compound: YTlCuTe3
Source: OQMD via LeMat-Bulk
Functional: PBE
Structure: optimized geometry

a b c (Å): 4.179 15.442 11.376
angles (deg): 90.00 90.00 90.00
Space group Cmcm (No. 63)
Symmetry-distinct sites (fractional):
Y 0.000 0.000 0.000
Tl 0.000 0.248 0.250
Cu 0.000 0.467 0.750
Te 0.000 0.073 0.750
Te 0.000 0.364 0.565

Summary:
**Size of the total moment**: 0.0 μB/cell
**E_tot**: -104.52 eV for the cell shown

=====

Entry 12:
Compound: Ag4ICl3
Source: OQMD via LeMat-Bulk
Functional: PBE
Structure: optimized geometry

a b c (Å): 6.188 6.188 12.446
angles (deg): 90.00 90.00 90.00
Space group I-42m (No. 121)
Symmetry-distinct sites (fractional):
Ag 0.238 0.238 0.369
I 0.000 0.000 0.000
Cl 0.000 0.000 0.500
Cl 0.000 0.500 0.250

Summary:
**E_tot**: -43.27 eV for the cell shown